# EuYZn (GGA-PBE, optimized geometry)
# Energy relative to the lowest polymorph listed for this composition   0.0 kJ/mol of atoms
# Size of the total moment   7.46 μB/f.u.
data_EuYZn
_space_group_name_H-M_alt 'I 4 m m'
_space_group_IT_number 107
_space_group_name_Hall 'I 4 -2'
_cell_length_a 3.680
_cell_length_b 3.680
_cell_length_c 12.772
_cell_angle_alpha 90.00
_cell_angle_beta 90.00
_cell_angle_gamma 90.00
loop_
_atom_site_label
_atom_site_type_symbol
_atom_site_fract_x
_atom_site_fract_y
_atom_site_fract_z
Eu1 Eu 0.000 0.000 0.000
Y1 Y 0.000 0.000 0.276
Zn1 Zn 0.000 0.000 0.655

=====

# EuY2Zr (GGA-PBE, optimized geometry)
# Energy relative to the lowest polymorph listed for this composition   10.5 kJ/mol of atoms
# Size of the total moment   6.70 μB/f.u.
data_EuY2Zr
_space_group_name_H-M_alt 'P 4/m m m'
_space_group_IT_number 123
_space_group_name_Hall '-P 4 2'
_cell_length_a 4.981
_cell_length_b 4.981
_cell_length_c 4.871
_cell_angle_alpha 90.00
_cell_angle_beta 90.00
_cell_angle_gamma 90.00
loop_
_atom_site_label
_atom_site_type_symbol
_atom_site_fract_x
_atom_site_fract_y
_atom_site_fract_z
Eu1 Eu 0.000 0.000 0.000
Y1 Y 0.000 0.500 0.500
Zr1 Zr 0.500 0.500 0.000

=====

# EuY2Zr (GGA-PBE, optimized geometry)
# Energy relative to the lowest polymorph listed for this composition   0.0 kJ/mol of atoms
# Size of the total moment   7.86 μB/f.u.
data_EuY2Zr
_space_group_name_H-M_alt 'P 4/m m m'
_space_group_IT_number 123
_space_group_name_Hall '-P 4 2'
_cell_length_a 3.495
_cell_length_b 3.495
_cell_length_c 10.263
_cell_angle_alpha 90.00
_cell_angle_beta 90.00
_cell_angle_gamma 90.00
loop_
_atom_site_label
_atom_site_type_symbol
_atom_site_fract_x
_atom_site_fract_y
_atom_site_fract_z
Eu1 Eu 0.000 0.000 0.000
Y1 Y 0.500 0.500 0.284
Zr1 Zr 0.000 0.000 0.500

=====

# YbEu3 (GGA-PBE, optimized geometry)
# Size of the total moment   7.21 μB/f.u.
data_YbEu3
_space_group_name_H-M_alt 'F m -3 m'
_space_group_IT_number 225
_space_group_name_Hall '-F 4 2 3'
_cell_length_a 8.710
_cell_length_b 8.710
_cell_length_c 8.710
_cell_angle_alpha 90.00
_cell_angle_beta 90.00
_cell_angle_gamma 90.00
loop_
_atom_site_label
_atom_site_type_symbol
_atom_site_fract_x
_atom_site_fract_y
_atom_site_fract_z
Yb1 Yb 0.000 0.000 0.000
Eu1 Eu 0.000 0.000 0.500
Eu2 Eu 0.250 0.250 0.250

=====

# Yb3Eu (GGA-PBE, optimized geometry)
# Size of the total moment   8.11 μB/f.u.
data_Yb3Eu
_space_group_name_H-M_alt 'P 63/m m c'
_space_group_IT_number 194
_space_group_name_Hall '-P 6c 2c'
_cell_length_a 7.5169
_cell_length_b 7.5169
_cell_length_c 6.1591
_cell_angle_alpha 90.00
_cell_angle_beta 90.00
_cell_angle_gamma 120.00
loop_
_atom_site_label
_atom_site_type_symbol
_atom_site_fract_x
_atom_site_fract_y
_atom_site_fract_z
Yb1 Yb 0.1659 0.3318 0.2500
Eu1 Eu 0.3333 0.6667 0.7500

=====

# Yb3Eu (GGA-PBE, optimized geometry)
# Size of the total moment   8.01 μB/f.u.
data_Yb3Eu
_space_group_name_H-M_alt 'I 4/m m m'
_space_group_IT_number 139
_space_group_name_Hall '-I 4 2'
_cell_length_a 5.329
_cell_length_b 5.329
_cell_length_c 10.629
_cell_angle_alpha 90.00
_cell_angle_beta 90.00
_cell_angle_gamma 90.00
loop_
_atom_site_label
_atom_site_type_symbol
_atom_site_fract_x
_atom_site_fract_y
_atom_site_fract_z
Yb1 Yb 0.000 0.000 0.000
Yb2 Yb 0.000 0.500 0.250
Eu1 Eu 0.000 0.000 0.500

=====

# EuZn3 (GGA-PBE, optimized geometry)
# Size of the total moment   7.55 μB/f.u.
data_EuZn3
_space_group_name_H-M_alt 'P m -3 m'
_space_group_IT_number 221
_space_group_name_Hall '-P 4 2 3'
_cell_length_a 4.426
_cell_length_b 4.426
_cell_length_c 4.426
_cell_angle_alpha 90.00
_cell_angle_beta 90.00
_cell_angle_gamma 90.00
loop_
_atom_site_label
_atom_site_type_symbol
_atom_site_fract_x
_atom_site_fract_y
_atom_site_fract_z
Eu1 Eu 0.000 0.000 0.000
Zn1 Zn 0.000 0.500 0.500

=====

# EuZn13 (GGA-PBE, optimized geometry)
# Size of the total moment   7.05 μB/f.u.
data_EuZn13
_space_group_name_H-M_alt 'F m -3 c'
_space_group_IT_number 226
_space_group_name_Hall '-F 4a 2 3'
_cell_length_a 12.238
_cell_length_b 12.238
_cell_length_c 12.238
_cell_angle_alpha 90.00
_cell_angle_beta 90.00
_cell_angle_gamma 90.00
loop_
_atom_site_label
_atom_site_type_symbol
_atom_site_fract_x
_atom_site_fract_y
_atom_site_fract_z
Eu1 Eu 0.250 0.250 0.250
Zn1 Zn 0.000 0.000 0.000
Zn2 Zn 0.000 0.121 0.180

=====

VASP energy, respectively: -37.1, -30.9, -31.3, -129.1, -30.4, -30.4, -14.5, -232.8 eV for the cell shown.
Fermi-level density of states, respectively: 2.79, 5.68, 5.78, 45.94, 55.22, 52.61, 4.95, 10.82 states/eV/f.u..
Formation energy from the elements, respectively: -0.18, 0.21, 0.10, 0.02, -0.08, -0.09, -0.09, -0.16 eV/atom.